K2HgAu | PBEsol | relaxed

```
4
Lattice="3.8357 0.0290 0.0000 -0.0286 3.8357 0.0000 0.0000 0.0000 9.5143" Properties=species:S:1:pos:R:3 pbc="T T T"
Au 0.0000 0.0000 4.1323
Hg 1.9036 1.9324 3.0239
K 0.0000 0.0000 0.8368
K 1.9036 1.9324 6.2785
```

Values from the calculation:
ρ	5.64	g cm⁻³
formation energy from the elements	-119	meV per atom
symmetry	P4mm

K2HgAu | PBEsol | relaxed

```
4
Lattice="5.3961 0.0000 0.0000 2.6981 4.6732 0.0000 2.6981 1.5577 4.4059" Properties=species:S:1:pos:R:3 pbc="T T T"
Au 5.3961 3.1154 2.2030
Hg 2.6981 1.5577 1.1015
K 0.0000 0.0000 0.0000
K 8.0942 4.6732 3.3044
```

Values from the calculation:
ρ	7.11	g cm⁻³
formation energy from the elements	-106	meV per atom
symmetry	F-43m

K2HgAu | PBEsol | relaxed

```
4
Lattice="4.8470 0.0000 0.0000 2.4235 4.1976 0.0000 2.4235 1.3992 7.4474" Properties=species:S:1:pos:R:3 pbc="T T T"
K 7.2705 4.1976 0.7965
K 7.2705 4.1976 4.7929
Au 4.8470 2.7984 2.7766
Hg 2.4235 1.3992 2.8052
```

Values from the calculation:
ρ	5.21	g cm⁻³
formation energy from the elements	-197	meV per atom
symmetry	R3m

K2HgAu | PBEsol | relaxed

```
4
Lattice="-0.6106 -3.2899 2.4547 4.9756 0.5294 1.9471 -4.1414 4.7876 1.8784" Properties=species:S:1:pos:R:3 pbc="T T T"
K -2.1932 1.6388 5.1588
K 1.0875 0.5243 4.4812
Au -0.4422 -1.4069 1.5124
Hg -0.7981 1.3882 1.6620
```

Values from the calculation:
ρ	6.26	g cm⁻³
formation energy from the elements	-183	meV per atom
symmetry	Imm2

KHgAuSe2 | PBEsol | relaxed

```
5
Lattice="5.1726 0.0000 0.0000 0.0000 5.2878 0.0000 0.0000 0.0000 5.2878" Properties=species:S:1:pos:R:3 pbc="T T T"
K 2.5863 2.6439 2.6439
Au 2.5863 0.0000 0.0000
Hg 0.0000 0.0000 0.0000
Se 0.0000 0.0000 2.6439
Se 0.0000 2.6439 0.0000
```

Values from the calculation:
ρ	6.83	g cm⁻³
formation energy (no corrections)	42	meV per atom
symmetry	P4/mmm

LaHgAu | PBEsol | relaxed

```
3
Lattice="-0.5290 -2.4504 2.4429 4.7062 0.1585 1.1782 -3.1633 2.9194 2.2434" Properties=species:S:1:pos:R:3 pbc="T T T"
Au 0.0000 0.0000 0.0000
Hg -0.5401 1.9991 1.8883
La 1.8185 -0.1464 2.7547
```

Values from the calculation:
ρ	12.47	g cm⁻³
formation energy from the elements	-694	meV per atom
symmetry	P-6m2

La2HgAu2 | PBEsol | relaxed

```
5
Lattice="5.6384 0.0000 0.0000 -2.8192 5.2290 0.0719 0.0000 2.9741 4.7903" Properties=species:S:1:pos:R:3 pbc="T T T"
Au 2.8192 2.5752 1.7195
Au 0.0000 5.6279 3.1426
Hg 0.0000 0.0000 0.0000
La 2.8192 4.8451 3.6286
La 0.0000 3.3580 1.2335
```

Values from the calculation:
ρ	10.34	g cm⁻³
formation energy from the elements	-510	meV per atom
symmetry	I4/mmm

LaHg3Au | PBEsol | relaxed

```
5
Lattice="5.1622 0.0000 0.0000 0.0000 5.1622 0.0000 0.0000 0.0000 5.1622" Properties=species:S:1:pos:R:3 pbc="T T T"
Au 0.0000 0.0000 0.0000
Hg 0.0000 2.5811 0.0000
Hg 0.0000 0.0000 2.5811
Hg 2.5811 0.0000 0.0000
La 2.5811 2.5811 2.5811
```

Values from the calculation:
ρ	11.32	g cm⁻³
formation energy from the elements	-44	meV per atom
symmetry	Pm-3m